[1]
The following is a DFT calculation (PBE) of an optimized crystal structure of NaNi3H8Pd2.

abc: 5.5404 5.5404 5.5404
angles: 56.91 56.91 56.91
Element x y z (fractional)
Na1 0.0000 0.0000 0.0000
Ni1 0.1356 0.6328 0.6328
Ni2 0.6328 0.1356 0.6328
Ni3 0.6328 0.6328 0.1356
H1 0.3813 0.3813 0.8434
H2 0.3813 0.8434 0.3813
H3 0.3986 0.3986 0.3986
H4 0.4675 0.8705 0.8705
H5 0.8434 0.3813 0.3813
H6 0.8516 0.8516 0.8516
H7 0.8705 0.4675 0.8705
H8 0.8705 0.8705 0.4675
Pd1 0.2611 0.2611 0.2611
Pd2 0.6343 0.6343 0.6343



[2]
The following is a DFT calculation (PBE) of an optimized crystal structure of NaNiH4Pd.

abc: 5.6588 5.6588 5.6588
angles: 123.19 117.62 89.37
Element x y z (fractional)
Na1 0.3838 0.1338 0.2500
Na2 0.6162 0.8662 0.7500
Ni1 0.0000 0.0000 0.5000
Ni2 0.0000 0.5000 0.0000
H1 0.1636 0.7370 0.4266
H2 0.1896 0.2630 0.9266
H3 0.2061 0.2451 0.5390
H4 0.2061 0.6670 0.9610
H5 0.7939 0.3330 0.0390
H6 0.7939 0.7549 0.4610
H7 0.8104 0.7370 0.0734
H8 0.8364 0.2630 0.5734
Pd1 0.0000 0.5000 0.5000
Pd2 0.5000 0.5000 0.0000



[3]
The following is a DFT calculation (PBE) of an optimized crystal structure of Na3Ni2H9Pd.

abc: 4.9070 4.9070 6.0128
angles: 90.00 90.00 120.00
Element x y z (fractional)
Na1 0.0000 0.0000 0.0000
Na2 0.3333 0.6667 0.6690
Na3 0.6667 0.3333 0.3310
Ni1 0.3333 0.6667 0.1589
Ni2 0.6667 0.3333 0.8411
H1 0.0000 0.5000 0.0000
H2 0.1763 0.3527 0.3226
H3 0.1763 0.8237 0.3226
H4 0.3527 0.1763 0.6774
H5 0.5000 0.0000 0.0000
H6 0.5000 0.5000 0.0000
H7 0.6473 0.8237 0.3226
H8 0.8237 0.1763 0.6774
H9 0.8237 0.6473 0.6774
Pd1 0.0000 0.0000 0.5000



The evaluated uncorrected energy for the records listed, in turn: -57.13; -26.70; -53.89 eV per formula unit.